## Co4Re9 (GGA-PBE)

Data for an optimized crystal structure of Co4Re9. Values from VASP.

Computed properties:
**Energy of formation**: 4.6 eV per formula unit
**Relative energy among the computed polymorphs**: 0.0 kJ per mole of atoms
**Total moment**: 0.1 μB per cell

```
&SYSTEM
  ibrav = 0, nat = 13, ntyp = 2
/
ATOMIC_SPECIES
Co 58.93 Co.upf
Re 186.21 Re.upf
CELL_PARAMETERS angstrom
-4.679 -7.200 2.667
-1.374 -8.856 -0.725
0.080 -8.048 4.008
ATOMIC_POSITIONS crystal
Co 0.163 0.163 0.163
Co 0.457 0.457 0.457
Co 0.543 0.543 0.543
Co 0.837 0.837 0.837
Re 0.000 0.000 0.000
Re 0.576 0.087 0.087
Re 0.087 0.576 0.087
Re 0.353 0.353 0.353
Re 0.913 0.913 0.424
Re 0.087 0.087 0.576
Re 0.647 0.647 0.647
Re 0.913 0.424 0.913
Re 0.424 0.913 0.913
```

## RbInPdS3 (GGA-PBE)

Data for an optimized crystal structure of RbInPdS3. Values from VASP.

Computed properties:
**Relative energy among the computed polymorphs**: 0.4 kJ per mole of atoms

```
&SYSTEM
  ibrav = 0, nat = 24, ntyp = 4
/
ATOMIC_SPECIES
In 114.82 In.upf
Pd 106.42 Pd.upf
Rb 85.47 Rb.upf
S 32.06 S.upf
CELL_PARAMETERS angstrom
14.372 0.000 0.000
0.000 4.212 0.000
0.000 0.000 11.021
ATOMIC_POSITIONS crystal
In 0.476 0.250 0.136
In 0.976 0.250 0.364
In 0.024 0.750 0.636
In 0.524 0.750 0.864
Pd 0.978 0.750 0.082
Pd 0.478 0.750 0.418
Pd 0.522 0.250 0.582
Pd 0.022 0.250 0.918
Rb 0.770 0.250 0.048
Rb 0.270 0.250 0.452
Rb 0.730 0.750 0.548
Rb 0.230 0.750 0.952
S 0.594 0.750 0.074
S 0.039 0.250 0.136
S 0.386 0.750 0.241
S 0.886 0.750 0.259
S 0.539 0.250 0.364
S 0.094 0.750 0.426
S 0.906 0.250 0.574
S 0.461 0.750 0.636
S 0.114 0.250 0.741
S 0.614 0.250 0.759
S 0.961 0.750 0.864
S 0.406 0.250 0.926
```

## LiNiPtPb (GGA-PBE)

Data for an optimized crystal structure of LiNiPtPb. Values from VASP.

Computed properties:
**Relative energy among the computed polymorphs**: 0.0 kJ per mole of atoms
**Total moment**: 0.0 μB per cell

```
&SYSTEM
  ibrav = 0, nat = 4, ntyp = 4
/
ATOMIC_SPECIES
Li 6.94 Li.upf
Ni 58.69 Ni.upf
Pb 207.20 Pb.upf
Pt 195.08 Pt.upf
CELL_PARAMETERS angstrom
0.000 3.134 3.134
3.134 0.000 3.134
3.134 3.134 0.000
ATOMIC_POSITIONS crystal
Li 0.250 0.250 0.250
Ni 0.750 0.750 0.750
Pb 0.000 0.000 0.000
Pt 0.500 0.500 0.500
```

## Ta3IrOs2 (GGA-PBE)

Data for an optimized crystal structure of Ta3IrOs2. Values from VASP.

Computed properties:
**Energy of formation**: -1.9 eV per formula unit
**Total moment**: 0.0 μB per cell

```
&SYSTEM
  ibrav = 0, nat = 12, ntyp = 3
/
ATOMIC_SPECIES
Ir 192.22 Ir.upf
Os 190.23 Os.upf
Ta 180.95 Ta.upf
CELL_PARAMETERS angstrom
-2.851 -5.377 12.451
-1.234 -2.429 -1.332
4.137 -2.120 0.032
ATOMIC_POSITIONS crystal
Ir 0.250 0.000 0.322
Ir 0.750 0.000 0.678
Os 0.593 0.000 0.187
Os 0.907 0.000 0.187
Os 0.093 0.000 0.813
Os 0.407 0.000 0.813
Ta 0.750 0.500 0.175
Ta 0.074 0.500 0.304
Ta 0.426 0.500 0.304
Ta 0.574 0.500 0.696
Ta 0.926 0.500 0.696
Ta 0.250 0.500 0.825
```

## Ba2Pd2O5 (GGA-PBE)

Data for an optimized crystal structure of Ba2Pd2O5. Values from VASP.

Computed properties:
**Relative energy among the computed polymorphs**: 73.2 kJ per mole of atoms

```
&SYSTEM
  ibrav = 0, nat = 9, ntyp = 3
/
ATOMIC_SPECIES
Ba 137.33 Ba.upf
O 16.00 O.upf
Pd 106.42 Pd.upf
CELL_PARAMETERS angstrom
-3.231 -7.337 -4.655
0.281 -2.425 3.627
-4.088 1.123 1.068
ATOMIC_POSITIONS crystal
Ba 0.243 0.500 0.500
Ba 0.757 0.500 0.500
O 0.078 0.500 0.000
O 0.922 0.500 0.000
O 0.078 0.000 0.500
O 0.922 0.000 0.500
O 0.500 0.500 0.500
Pd 0.000 0.000 0.000
Pd 0.500 0.000 0.000
```

## ErAs2O (GGA-PBE)

Data for an optimized crystal structure of ErAs2O. Values from VASP.

Computed properties:
**Relative energy among the computed polymorphs**: 100.5 kJ per mole of atoms
**Total moment**: 0.0 μB per cell

```
&SYSTEM
  ibrav = 0, nat = 8, ntyp = 3
/
ATOMIC_SPECIES
As 74.92 As.upf
Er 167.26 Er.upf
O 16.00 O.upf
CELL_PARAMETERS angstrom
4.537 0.000 0.000
0.000 4.537 0.000
0.000 0.000 7.571
ATOMIC_POSITIONS crystal
As 0.250 0.250 0.046
As 0.750 0.750 0.292
As 0.250 0.250 0.708
As 0.750 0.750 0.954
Er 0.750 0.250 0.500
Er 0.250 0.750 0.500
O 0.750 0.250 0.000
O 0.250 0.750 0.000
```